This record from Alexandria describes a relaxed U2PaOs crystal. The functional is GGA-PBE.

The space group is R-3m (No. 166, hexagonal axes) and the conventional cell measures 3.5901, 3.5901 and 24.9458 Å, with angles of 90.00, 90.00 and 120.00 degrees. The asymmetric unit holds U at (0.0000, 0.0000, 0.0993), Pa at (0.0000, 0.0000, 0.5000) and Os at (0.0000, 0.0000, 0.0000).

The calculation puts the energy above the most stable polymorph in this dataset at 1202 meV per atom. Its total moment is 0.00 μB per atom. For the density of states at the Fermi level, the calculation gives 1.924 states/eV per atom. The value obtained for the volume is 93 Å³/f.u. The value obtained for the formation energy is 1.26 eV per atom.